# 1
P2IrSeO: relaxed, GGA-PBE.

```
data_P2IrSeO
_symmetry_space_group_name_H-M 'P 4/m m m'
_symmetry_Int_Tables_number 123
_symmetry_space_group_name_Hall '-P 4 2'
_cell_length_a 4.798
_cell_length_b 4.798
_cell_length_c 3.730
_cell_angle_alpha 90.00
_cell_angle_beta 90.00
_cell_angle_gamma 90.00
loop_
_atom_site_label
_atom_site_type_symbol
_atom_site_fract_x
_atom_site_fract_y
_atom_site_fract_z
P1 P 0.000 0.500 0.000
Ir1 Ir 0.000 0.000 0.000
Se1 Se 0.500 0.500 0.500
O1 O 0.000 0.000 0.500
```

# 2
SiP2IrO: relaxed, GGA-PBE.

```
data_SiP2IrO
_symmetry_space_group_name_H-M 'P 4/m m m'
_symmetry_Int_Tables_number 123
_symmetry_space_group_name_Hall '-P 4 2'
_cell_length_a 4.814
_cell_length_b 4.814
_cell_length_c 3.671
_cell_angle_alpha 90.00
_cell_angle_beta 90.00
_cell_angle_gamma 90.00
loop_
_atom_site_label
_atom_site_type_symbol
_atom_site_fract_x
_atom_site_fract_y
_atom_site_fract_z
Si1 Si 0.000 0.000 0.000
P1 P 0.000 0.500 0.500
Ir1 Ir 0.500 0.500 0.500
O1 O 0.500 0.500 0.000
```

# 3
SiP2IrO: relaxed, GGA-PBE.

```
data_SiP2IrO
_symmetry_space_group_name_H-M 'P 4/m m m'
_symmetry_Int_Tables_number 123
_symmetry_space_group_name_Hall '-P 4 2'
_cell_length_a 4.652
_cell_length_b 4.652
_cell_length_c 3.186
_cell_angle_alpha 90.00
_cell_angle_beta 90.00
_cell_angle_gamma 90.00
loop_
_atom_site_label
_atom_site_type_symbol
_atom_site_fract_x
_atom_site_fract_y
_atom_site_fract_z
Si1 Si 0.000 0.000 0.000
P1 P 0.000 0.500 0.000
Ir1 Ir 0.500 0.500 0.500
O1 O 0.000 0.000 0.500
```

# 4
SnP2IrO: relaxed, GGA-PBE.

```
data_SnP2IrO
_symmetry_space_group_name_H-M 'P 4/m m m'
_symmetry_Int_Tables_number 123
_symmetry_space_group_name_Hall '-P 4 2'
_cell_length_a 5.018
_cell_length_b 5.018
_cell_length_c 3.770
_cell_angle_alpha 90.00
_cell_angle_beta 90.00
_cell_angle_gamma 90.00
loop_
_atom_site_label
_atom_site_type_symbol
_atom_site_fract_x
_atom_site_fract_y
_atom_site_fract_z
Sn1 Sn 0.000 0.000 0.000
P1 P 0.000 0.500 0.000
Ir1 Ir 0.500 0.500 0.500
O1 O 0.000 0.000 0.500
```

no.,uncorrected formation energy (eV/atom),final energy (Ha/atom),energy above the lowest structure with this stoichiometry (eV per atom)
1,0.253,-0.1974,0.000
2,0.430,-0.2051,0.448
3,-0.017,-0.2216,0.000
4,1.002,-0.1737,0.886